one) First-principles (PBE-GGA) data for BaRe2O8 after structural relaxation, as listed in Alexandria.

Summary:
**Crystal system**: monoclinic

abc: 11.4138 5.5783 6.8546
angles: 90.00 111.87 90.00
With the nearest neighbours (Å) after each atom.
Space group C2/m (No. 12)
One atom of each set of equivalent atoms:
Ba 0.0000 0.0000 0.0000 (multiplicity 2)  6 O 2.75-2.94
Re 0.2060 0.0000 0.6946 (multiplicity 4)  4 O 1.75-1.77
O 0.1285 0.5000 0.1835 (multiplicity 4)  1 Re 1.76
O 0.1429 0.2459 0.7798 (multiplicity 8)  1 Re 1.75
O 0.1573 0.0000 0.4173 (multiplicity 4)  1 Re 1.77

two) First-principles (PBE-GGA) data for BaRe2O8 after structural relaxation, as listed in Alexandria.

Summary:
**Crystal system**: tetragonal

abc: 4.7875 4.7875 6.5515
angles: 90.00 90.00 90.00
With the nearest neighbours (Å) after each atom.
Space group P4/mmm (No. 123)
One atom of each set of equivalent atoms:
Ba 0.0000 0.0000 0.0000 (multiplicity 1)  8 O 2.72
Re 0.0000 0.5000 0.5000 (multiplicity 2)  8 O 2.04
O 0.2510 0.2510 0.3251 (multiplicity 8)  2 Re 2.04

Here are the energies relative to the best structure, in meV per atom: one) 0; two) 811.

one) First-principles (PBE-GGA) data for BaRe3O after structural relaxation, as listed in Alexandria.

Summary:
**Crystal system**: cubic

abc: 5.2908 5.2908 5.2908
angles: 90.00 90.00 90.00
With the nearest neighbours (Å) after each atom.
Space group Pm-3m (No. 221)
One atom of each set of equivalent atoms:
Ba 0.0000 0.0000 0.0000 (multiplicity 1)  6 Re 2.65
Re 0.0000 0.0000 0.5000 (multiplicity 3)  2 Ba 2.65
O 0.5000 0.5000 0.5000 (multiplicity 1)  12 Re 3.74

two) First-principles (PBE-GGA) data for BaRe3O after structural relaxation, as listed in Alexandria.

Summary:
**Crystal system**: cubic

abc: 4.4084 4.4084 4.4084
angles: 90.00 90.00 90.00
With the nearest neighbours (Å) after each atom.
Space group Pm-3m (No. 221)
One atom of each set of equivalent atoms:
Ba 0.0000 0.0000 0.0000 (multiplicity 1)  12 Re 3.12
Re 0.0000 0.5000 0.5000 (multiplicity 3)  2 O 2.20
O 0.5000 0.5000 0.5000 (multiplicity 1)  6 Re 2.20

Here are the energies relative to the best structure, in meV per atom: one) 3123; two) 0.

one) First-principles (PBE-GGA) data for BaRh3O after structural relaxation, as listed in Alexandria.

Summary:
**Crystal system**: cubic

abc: 4.4166 4.4166 4.4166
angles: 90.00 90.00 90.00
With the nearest neighbours (Å) after each atom.
Space group Pm-3m (No. 221)
One atom of each set of equivalent atoms:
Ba 0.0000 0.0000 0.0000 (multiplicity 1)  12 Rh 3.12
Rh 0.0000 0.5000 0.5000 (multiplicity 3)  2 O 2.21
O 0.5000 0.5000 0.5000 (multiplicity 1)  6 Rh 2.21

two) First-principles (PBE-GGA) data for BaRh3O after structural relaxation, as listed in Alexandria.

Summary:
**Crystal system**: cubic

abc: 5.1771 5.1771 5.1771
angles: 90.00 90.00 90.00
With the nearest neighbours (Å) after each atom.
Space group Pm-3m (No. 221)
One atom of each set of equivalent atoms:
Ba 0.0000 0.0000 0.0000 (multiplicity 1)  6 Rh 2.59
Rh 0.0000 0.0000 0.5000 (multiplicity 3)  2 Ba 2.59
O 0.5000 0.5000 0.5000 (multiplicity 1)  12 Rh 3.66

Here are the energies relative to the best structure, in meV per atom: one) 0; two) 2136.

one) First-principles (PBE-GGA) data for Ba2RhO5 after structural relaxation, as listed in Alexandria.

Summary:
**Crystal system**: orthorhombic

abc: 7.4723 5.7623 11.6610
angles: 90.00 90.00 90.00
With the nearest neighbours (Å) after each atom.
Space group Pnma (No. 62)
One atom of each set of equivalent atoms:
Ba 0.0221 0.2500 0.2075 (multiplicity 4)  10 O 2.70-2.92
Ba 0.1709 0.7500 0.4204 (multiplicity 4)  10 O 2.73-3.03
Rh 0.1749 0.7500 0.0640 (multiplicity 4)  6 O 1.90-2.08
O 0.0000 0.0000 0.0000 (multiplicity 4)  2 Rh 2.08
O 0.0312 0.7500 0.1997 (multiplicity 4)  1 Rh 1.91
O 0.1750 0.0072 0.6172 (multiplicity 8)  1 Rh 1.90
O 0.2105 0.2500 0.4096 (multiplicity 4)  1 Rh 1.99

two) First-principles (PBE-GGA) data for Ba2RhO5 after structural relaxation, as listed in Alexandria.

Summary:
**Crystal system**: tetragonal

abc: 6.1577 6.1577 7.6123
angles: 90.00 90.00 90.00
With the nearest neighbours (Å) after each atom.
Space group I4mm (No. 107)
One atom of each set of equivalent atoms:
Ba 0.0000 0.5000 0.0000 (multiplicity 4)  10 O 2.78-3.08
Rh 0.0000 0.0000 0.2330 (multiplicity 2)  5 O 1.82-1.93
O 0.0000 0.0000 0.9934 (multiplicity 2)  1 Rh 1.82
O 0.2186 0.2186 0.2752 (multiplicity 8)  1 Rh 1.93

Here are the energies relative to the best structure, in meV per atom: one) 0; two) 85.

one) First-principles (PBE-GGA) data for Ba3Rh2O7 after structural relaxation, as listed in Alexandria.

Summary:
**Crystal system**: orthorhombic

abc: 4.1288 22.5679 4.0249
angles: 90.00 90.00 90.00
With the nearest neighbours (Å) after each atom.
Space group Cmmm (No. 65)
One atom of each set of equivalent atoms:
Ba 0.0000 0.0000 0.0000 (multiplicity 2)  12 O 2.88-2.94
Ba 0.0000 0.1739 0.0000 (multiplicity 4)  8 O 2.73-2.89
Rh 0.0000 0.4079 0.5000 (multiplicity 4)  6 O 2.01-2.08
O 0.0000 0.0919 0.5000 (multiplicity 4)  2 Rh 2.06
O 0.0000 0.3187 0.5000 (multiplicity 4)  1 Rh 2.01
O 0.0000 0.4075 0.0000 (multiplicity 4)  2 Rh 2.01
O 0.0000 0.5000 0.5000 (multiplicity 2)  2 Rh 2.08

two) First-principles (PBE-GGA) data for Ba3Rh2O7 after structural relaxation, as listed in Alexandria.

Summary:
**Crystal system**: tetragonal

abc: 4.1055 4.1055 21.4607
angles: 90.00 90.00 90.00
With the nearest neighbours (Å) after each atom.
Space group I4/mmm (No. 139)
One atom of each set of equivalent atoms:
Ba 0.0000 0.0000 0.0000 (multiplicity 2)  12 O 2.90
Ba 0.0000 0.0000 0.1825 (multiplicity 4)  9 O 2.73-2.91
Rh 0.0000 0.0000 0.4039 (multiplicity 4)  6 O 2.02-2.06
O 0.0000 0.0000 0.3096 (multiplicity 4)  1 Rh 2.02
O 0.0000 0.0000 0.5000 (multiplicity 2)  2 Rh 2.06
O 0.0000 0.5000 0.0957 (multiplicity 8)  2 Rh 2.05

Here are the energies relative to the best structure, in meV per atom: one) 57; two) 0.

one) First-principles (PBE-GGA) data for Ba4RhO after structural relaxation, as listed in Alexandria.

Summary:
**Crystal system**: orthorhombic

abc: 10.4861 8.3212 10.7609
angles: 90.00 90.00 90.00
With the nearest neighbours (Å) after each atom.
Space group Cmcm (No. 63)
One atom of each set of equivalent atoms:
Ba 0.0000 0.2066 0.0578 (multiplicity 8)  1 O 2.58
Ba 0.1889 0.4236 0.7500 (multiplicity 8)  1 O 2.51
Rh 0.0000 0.0931 0.7500 (multiplicity 4)  8 Ba 3.24-3.55
O 0.0000 0.3912 0.2500 (multiplicity 4)  4 Ba 2.51-2.58

two) First-principles (PBE-GGA) data for Ba4RhO after structural relaxation, as listed in Alexandria.

Summary:
**Crystal system**: monoclinic

abc: 7.4216 4.3221 7.4770
angles: 90.00 94.03 90.00
With the nearest neighbours (Å) after each atom.
Space group P2/m (No. 10)
One atom of each set of equivalent atoms:
Ba 0.2049 0.0000 0.3575 (multiplicity 2)  2 O 2.89, 1 Rh 2.98
Ba 0.2198 0.5000 0.8159 (multiplicity 2)  1 O 2.78, 2 Rh 3.09
Rh 0.0000 0.0000 0.0000 (multiplicity 1)  6 Ba 2.98-3.09
O 0.0000 0.5000 0.5000 (multiplicity 1)  6 Ba 2.78-2.89

Here are the energies relative to the best structure, in meV per atom: one) 34; two) 0.

one) First-principles (PBE-GGA) data for Ba2RuO4 after structural relaxation, as listed in Alexandria.

Summary:
**Crystal system**: monoclinic

abc: 6.4662 5.7724 7.5308
angles: 90.00 106.49 90.00
With the nearest neighbours (Å) after each atom.
Space group P2_1/m (No. 11)
One atom of each set of equivalent atoms:
Ba 0.2049 0.2500 0.0377 (multiplicity 2)  6 O 2.74-2.86
Ba 0.2643 0.2500 0.5576 (multiplicity 2)  5 O 2.76-2.86
Ru 0.2566 0.7500 0.7953 (multiplicity 2)  4 O 1.86-1.95
O 0.0204 0.5281 0.7408 (multiplicity 4)  1 Ru 1.95
O 0.3923 0.7500 0.0486 (multiplicity 2)  1 Ru 1.86
O 0.4418 0.7500 0.6452 (multiplicity 2)  1 Ru 1.87

two) First-principles (PBE-GGA) data for Ba2RuO4 after structural relaxation, as listed in Alexandria.

Summary:
**Crystal system**: tetragonal

abc: 4.0354 4.0354 13.6012
angles: 90.00 90.00 90.00
With the nearest neighbours (Å) after each atom.
Space group I4/mmm (No. 139)
One atom of each set of equivalent atoms:
Ba 0.0000 0.0000 0.1455 (multiplicity 4)  9 O 2.72-2.86
Ru 0.0000 0.0000 0.5000 (multiplicity 2)  6 O 2.02-2.10
O 0.0000 0.0000 0.3458 (multiplicity 4)  1 Ru 2.10
O 0.0000 0.5000 0.0000 (multiplicity 4)  2 Ru 2.02

Here are the energies relative to the best structure, in meV per atom: one) 178; two) 0.

one) First-principles (PBE-GGA) data for Ba3Ru2O7 after structural relaxation, as listed in Alexandria.

Summary:
**Crystal system**: orthorhombic

abc: 4.1053 22.7514 4.0235
angles: 90.00 90.00 90.00
With the nearest neighbours (Å) after each atom.
Space group Cmmm (No. 65)
One atom of each set of equivalent atoms:
Ba 0.0000 0.0000 0.0000 (multiplicity 2)  12 O 2.87-2.91
Ba 0.0000 0.1731 0.0000 (multiplicity 4)  8 O 2.75-2.88
Ru 0.0000 0.4095 0.5000 (multiplicity 4)  6 O 2.01-2.06
O 0.0000 0.0908 0.5000 (multiplicity 4)  2 Ru 2.05
O 0.0000 0.3211 0.5000 (multiplicity 4)  1 Ru 2.01
O 0.0000 0.4091 0.0000 (multiplicity 4)  2 Ru 2.01
O 0.0000 0.5000 0.5000 (multiplicity 2)  2 Ru 2.06

two) First-principles (PBE-GGA) data for Ba3Ru2O7 after structural relaxation, as listed in Alexandria.

Summary:
**Crystal system**: tetragonal

abc: 4.0962 4.0962 21.4705
angles: 90.00 90.00 90.00
With the nearest neighbours (Å) after each atom.
Space group I4/mmm (No. 139)
One atom of each set of equivalent atoms:
Ba 0.0000 0.0000 0.0000 (multiplicity 2)  12 O 2.89-2.90
Ba 0.0000 0.0000 0.1830 (multiplicity 4)  9 O 2.74-2.90
Ru 0.0000 0.0000 0.4048 (multiplicity 4)  6 O 2.02-2.05
O 0.0000 0.0000 0.3106 (multiplicity 4)  1 Ru 2.02
O 0.0000 0.0000 0.5000 (multiplicity 2)  2 Ru 2.04
O 0.0000 0.5000 0.0950 (multiplicity 8)  2 Ru 2.05

Here are the energies relative to the best structure, in meV per atom: one) 59; two) 0.

one) First-principles (PBE-GGA) data for BaRuO4 after structural relaxation, as listed in Alexandria.

Summary:
**Crystal system**: monoclinic

abc: 7.3689 7.9720 9.2260
angles: 90.00 126.46 90.00
With the nearest neighbours (Å) after each atom.
Space group P2_1/c (No. 14)
One atom of each set of equivalent atoms:
Ba 0.1784 0.1547 0.2783 (multiplicity 4)  8 O 2.76-2.94
Ru 0.3083 0.6660 0.1973 (multiplicity 4)  4 O 1.79-1.81
O 0.1104 0.6619 0.6119 (multiplicity 4)  1 Ru 1.81
O 0.1909 0.5017 0.2502 (multiplicity 4)  1 Ru 1.79
O 0.3305 0.6129 0.0182 (multiplicity 4)  1 Ru 1.81
O 0.4062 0.2204 0.1247 (multiplicity 4)  1 Ru 1.79

two) First-principles (PBE-GGA) data for BaRuO4 after structural relaxation, as listed in Alexandria.

Summary:
**Crystal system**: tetragonal

abc: 3.7596 3.7596 6.4223
angles: 90.00 90.00 90.00
With the nearest neighbours (Å) after each atom.
Space group P4/mmm (No. 123)
One atom of each set of equivalent atoms:
Ba 0.0000 0.0000 0.0000 (multiplicity 1)  8 O 2.94
Ru 0.5000 0.5000 0.5000 (multiplicity 1)  6 O 1.88-1.95
O 0.0000 0.5000 0.5000 (multiplicity 2)  2 Ru 1.88
O 0.5000 0.5000 0.1965 (multiplicity 2)  1 Ru 1.95

Here are the energies relative to the best structure, in meV per atom: one) 0; two) 233.

one) First-principles (PBE-GGA) data for Ba2RuO6 after structural relaxation, as listed in Alexandria.

Summary:
**Crystal system**: tetragonal

abc: 5.5190 5.5190 11.0036
angles: 90.00 90.00 90.00
With the nearest neighbours (Å) after each atom.
Space group P4_2/mnm (No. 136)
One atom of each set of equivalent atoms:
Ba 0.0000 0.0000 0.1698 (multiplicity 4)  6 O 2.62-2.77
Ru 0.0000 0.0000 0.5000 (multiplicity 2)  6 O 1.86-1.90
O 0.1695 0.1695 0.3758 (multiplicity 8)  1 Ru 1.90
O 0.2385 0.7615 0.5000 (multiplicity 4)  1 Ru 1.86

two) First-principles (PBE-GGA) data for Ba2RuO6 after structural relaxation, as listed in Alexandria.

Summary:
**Crystal system**: cubic

abc: 8.2847 8.2847 8.2847
angles: 90.00 90.00 90.00
With the nearest neighbours (Å) after each atom.
Space group Fm-3m (No. 225)
One atom of each set of equivalent atoms:
Ba 0.2500 0.2500 0.2500 (multiplicity 8)  12 O 2.94
Ru 0.0000 0.0000 0.0000 (multiplicity 4)  6 O 1.88
O 0.0000 0.0000 0.2274 (multiplicity 24)  1 Ru 1.88

Here are the energies relative to the best structure, in meV per atom: one) 78; two) 0.